[1]
DFT (SCAN) results for a crystal of Sr2B4Rh5 relaxed with PBEsol.

Calculated values
E_form, eV/atom: -0.67
D(E_F), states/eV/atom: 0.416
Size of the total moment, μB/f.u.: 0.000
VASP energy, hartree per atom: -0.83687
Density, Mg/m³: 7.9

a = 5.5045 Å, b = 9.9893 Å, c = 11.1688 Å
α = 90.00°, β = 90.00°, γ = 90.00°
Space group Fmmm (No. 69)
Unique sites:
Sr 0.0000 0.0000 0.1435
B 0.0000 0.1638 0.3716
Rh 0.0000 0.0000 0.5000
Rh 0.2500 0.2500 0.0000
Rh 0.2500 0.2500 0.2500



[2]
DFT (SCAN) results for a crystal of CsH5S2N2O6 relaxed with PBEsol.

Calculated values
D(E_F), states/eV/atom: 0.000
Size of the total moment, μB/f.u.: 0.000
VASP energy, hartree per atom: -0.34198
Density, Mg/m³: 2.7

a = 5.1991 Å, b = 6.1704 Å, c = 24.7995 Å
α = 90.00°, β = 90.00°, γ = 90.00°
Space group P2_12_12_1 (No. 19)
Unique sites:
Cs 0.1145 0.0295 0.3462
H 0.0265 0.6515 0.7484
H 0.0928 0.0548 0.5817
H 0.1104 0.8365 0.5357
H 0.1181 0.1014 0.5116
H 0.2339 0.4909 0.7826
S 0.1695 0.9829 0.6832
S 0.2095 0.4985 0.4648
N 0.0453 0.9972 0.5418
N 0.0466 0.5055 0.7684
O 0.0856 0.9808 0.2110
O 0.1203 0.6401 0.4226
O 0.1239 0.1512 0.6414
O 0.1321 0.7643 0.6621
O 0.1509 0.2692 0.4570
O 0.1669 0.5725 0.5198



[3]
DFT (SCAN) results for a crystal of RbNb2TcBr relaxed with PBEsol.

Calculated values
D(E_F), states/eV/atom: 0.710
Size of the total moment, μB/f.u.: 2.089
VASP energy, hartree per atom: -1.00837
ΔE_f (raw), eV/atom: 0.86
Density, Mg/m³: 5.4

a = 4.7505 Å, b = 4.7505 Å, c = 6.1773 Å
α = 90.00°, β = 90.00°, γ = 90.00°
Space group P4/mmm (No. 123)
Unique sites:
Rb 0.0000 0.0000 0.0000
Nb 0.0000 0.5000 0.5000
Tc 0.5000 0.5000 0.5000
Br 0.5000 0.5000 0.0000